An optimized crystal structure of Rb4SmPa3O12. Source: Alexandria, functional PBE.

Volume = 17.530 Å³/atom
Raw total energy = -7.653 eV/atom
Calculated density = 6.52 g/cm3
E_form (uncorrected) = -2824.0 meV/atom
SG = Im-3m (229)

Lattice parameters (Å, degrees): 7.6939 7.6939 7.6939 109.47 109.47 109.47
Atoms (fractional coordinates):
Rb (0.5000, 0.5000, 0.5000)
Rb (0.0000, 0.0000, 0.5000)
Rb (0.5000, 0.0000, 0.0000)
Rb (0.0000, 0.5000, 0.0000)
Sm (0.0000, 0.0000, 0.0000)
Pa (0.5000, 0.0000, 0.5000)
Pa (0.5000, 0.5000, 0.0000)
Pa (0.0000, 0.5000, 0.5000)
O (0.2500, 0.5000, 0.7500)
O (0.7355, 0.0000, 0.7355)
O (0.2645, 0.0000, 0.2645)
O (0.7500, 0.5000, 0.2500)
O (0.7355, 0.7355, 0.0000)
O (0.2645, 0.2645, 0.0000)
O (0.7500, 0.2500, 0.5000)
O (0.2500, 0.7500, 0.5000)
O (0.5000, 0.2500, 0.7500)
O (0.0000, 0.7355, 0.7355)
O (0.5000, 0.7500, 0.2500)
O (0.0000, 0.2645, 0.2645)